[1]
Here is a crystal of AlAgO2 relaxed with PBEsol from Alexandria. Energies are from meta-GGA SCAN.

Calculated values
The value obtained for the total energy is -240.4 eV/cell.

Unit cell a=5.353 b=6.902 c=5.439 alpha=90.00 beta=90.00 gamma=90.00
Space group Pna2_1 (No. 33)
Unique sites:
Al: 0.072 0.124 0.000 (multiplicity 4)
Ag: 0.057 0.644 0.007 (multiplicity 4)
O: 0.034 0.068 0.314 (multiplicity 4)
O: 0.109 0.666 0.436 (multiplicity 4)

[2]
Here is a crystal of Ca2BTeOs relaxed with PBEsol from Alexandria. Energies are from meta-GGA SCAN.

Calculated values
The value obtained for the total energy is -137.4 eV/cell.

Unit cell a=5.124 b=5.124 c=4.018 alpha=90.00 beta=90.00 gamma=90.00
Space group P4/mmm (No. 123)
Unique sites:
Ca: 0.000 0.500 0.000 (multiplicity 2)
B: 0.000 0.000 0.000 (multiplicity 1)
Te: 0.500 0.500 0.500 (multiplicity 1)
Os: 0.000 0.000 0.500 (multiplicity 1)

[3]
Here is a crystal of MnCrRu2 relaxed with PBEsol from Alexandria. Energies are from meta-GGA SCAN.

Calculated values
As for the formation energy: 38 meV per atom. The value obtained for the total energy is -212.3 eV/cell.

Unit cell a=2.905 b=4.137 c=8.249 alpha=90.00 beta=90.00 gamma=90.00
Space group Imm2 (No. 44)
Unique sites:
Mn: 0.000 0.000 0.000 (multiplicity 2)
Cr: 0.000 0.500 0.289 (multiplicity 2)
Ru: 0.000 0.000 0.534 (multiplicity 2)
Ru: 0.000 0.500 0.756 (multiplicity 2)

[4]
Here is a crystal of AlBrN2O relaxed with PBEsol from Alexandria. Energies are from meta-GGA SCAN.

Calculated values
The value obtained for the total energy is -41.6 eV/cell.

Unit cell a=3.543 b=3.543 c=5.652 alpha=90.00 beta=90.00 gamma=90.00
Space group P4/mmm (No. 123)
Unique sites:
Al: 0.000 0.000 0.000 (multiplicity 1)
Br: 0.000 0.000 0.500 (multiplicity 1)
N: 0.000 0.500 0.500 (multiplicity 2)
O: 0.500 0.500 0.000 (multiplicity 1)

Question: Number 3 is which compound?
Answer: MnCrRu2